VASP calculation (PBE) on an optimized crystal structure of Ta2VPd.

Cell lengths 3.853, 3.853, 9.989 Å; angles 78.88, 78.88, 90.00 degrees
Each line ends with the local moment (μB).
Fractional positions:
Pd 0.000 0.000 0.000  0.09
V 0.500 0.500 0.000  1.12
Pd 0.750 0.250 0.500  0.09
Ta 0.132 0.625 0.250  -0.06
Ta 0.375 0.382 0.750  -0.06
V 0.250 0.750 0.500  1.12
Ta 0.875 0.868 0.750  -0.06
Ta 0.618 0.125 0.250  -0.06

Summary:
- Calculated total energy: -71.70 eV per cell
- Formation enthalpy at 0 K: 0.541 eV/atom
- Total magnetic moment: 2.4 Bohr magnetons per cell